Record 1
A relaxed structure of GaTc3Hg. Source: the Alexandria database, functional PBEsol.

Values from the calculation:
* electronic total energy: -4.903 eV/atom
* M_tot: 6.080 Bohr magnetons per cell
* formation enthalpy at 0 K: 2638 meV per atom
* space-group type: Pm-3m
* density: 8.09 g cm⁻³

a = 4.8740 Å, b = 4.8740 Å, c = 4.8740 Å
α = 90.00°, β = 90.00°, γ = 90.00°
With the nearest neighbours (Å) after each atom.
Sites, in units of the cell vectors:
Ga 0.5000 0.5000 0.5000  12 Tc 3.45
Hg 0.0000 0.0000 0.0000  6 Tc 2.44
Tc 0.5000 0.0000 0.0000  2 Hg 2.44
Tc 0.0000 0.5000 0.0000  2 Hg 2.44
Tc 0.0000 0.0000 0.5000  2 Hg 2.44

Record 2
A relaxed structure of Ga2Hg2Te. Source: the Alexandria database, functional PBEsol.

Values from the calculation:
* raw formation energy: 85 meV per atom
* electronic total energy: -2.183 eV/atom
* M_tot: 0.000 Bohr magnetons per cell
* space-group type: I4/mmm
* density: 9.45 g cm⁻³

a = 4.3554 Å, b = 4.3554 Å, c = 6.9148 Å
α = 108.36°, β = 108.36°, γ = 90.00°
With the nearest neighbours (Å) after each atom.
Sites, in units of the cell vectors:
Te 0.0000 0.0000 0.0000  8 Hg 3.37
Ga 0.2500 0.7500 0.5000  4 Hg 2.78, 4 Ga 3.08
Ga 0.7500 0.2500 0.5000  4 Hg 2.78, 4 Ga 3.08
Hg 0.3890 0.3890 0.7780  1 Hg 2.75, 4 Ga 2.78
Hg 0.6110 0.6110 0.2220  1 Hg 2.75, 4 Ga 2.78

Record 3
A relaxed structure of GaHgTe2. Source: the Alexandria database, functional PBEsol.

Values from the calculation:
* raw formation energy: 130 meV per atom
* electronic total energy: -2.609 eV/atom
* M_tot: 0.000 Bohr magnetons per cell
* space-group type: R-3m
* density: 8.39 g cm⁻³

a = 3.1335 Å, b = 3.1335 Å, c = 12.3659 Å
α = 82.72°, β = 82.72°, γ = 60.00°
With the nearest neighbours (Å) after each atom.
Sites, in units of the cell vectors:
Te 0.9225 0.9225 0.2324  1 Ga 2.84, 6 Te 3.13
Te 0.0775 0.0775 0.7676  1 Ga 2.84, 6 Te 3.13
Hg 0.5000 0.5000 0.5000  6 Hg 3.13
Ga 0.0000 0.0000 0.0000  2 Te 2.84, 6 Ga 3.13

Record 4
A relaxed structure of Ga2Hg12Te15. Source: the Alexandria database, functional PBEsol.

Values from the calculation:
* raw formation energy: -157 meV per atom
* electronic total energy: -2.446 eV/atom
* M_tot: 0.000 Bohr magnetons per cell
* space-group type: Cm
* density: 7.51 g cm⁻³

a = 7.8975 Å, b = 7.8977 Å, c = 18.4379 Å
α = 85.91°, β = 81.79°, γ = 60.00°
With the nearest neighbours (Å) after each atom.
Sites, in units of the cell vectors:
Ga 0.0682 0.6668 0.7957  4 Te 2.62-2.68
Ga 0.7349 0.3332 0.7957  4 Te 2.62-2.68
Te 0.5834 0.3340 0.2499  4 Hg 2.81
Te 0.6449 0.0000 0.0437  4 Hg 2.79-2.82
Te 0.9928 0.3262 0.0431  4 Hg 2.79-2.82
Te 0.2486 0.0000 0.2521  4 Hg 2.80-2.81
Te 0.9174 0.6660 0.2499  4 Hg 2.81
Te 0.1805 0.3344 0.4580  4 Hg 2.80-2.82
Te 0.7829 0.3330 0.6520  1 Ga 2.62, 3 Hg 2.87
Te 0.5149 0.6656 0.4580  4 Hg 2.80-2.82
Te 0.4374 0.0000 0.6867  3 Hg 2.74
Te 0.1159 0.6670 0.6520  1 Ga 2.62, 3 Hg 2.87
Te 0.0425 0.0000 0.8350  2 Ga 2.68, 1 Hg 2.82
Te 0.3190 0.6738 0.0431  4 Hg 2.79-2.82
Te 0.3885 0.3458 0.8348  2 Ga 2.68, 1 Hg 2.82
Te 0.8466 0.0000 0.4579  4 Hg 2.80-2.82
Te 0.7343 0.6542 0.8348  2 Ga 2.68, 1 Hg 2.82
Hg 0.9361 0.3317 0.1968  4 Te 2.80-2.81
Hg 0.1998 0.0000 0.4061  4 Te 2.80-2.82
Hg 0.1621 0.3012 0.6114  4 Te 2.74-2.87
Hg 0.6800 0.6573 0.9893  4 Te 2.79-2.82
Hg 0.2677 0.6683 0.1968  4 Te 2.80-2.81
Hg 0.3374 0.3427 0.9893  4 Te 2.79-2.82
Hg 0.5991 0.0000 0.1979  4 Te 2.81
Hg 0.4633 0.6988 0.6114  4 Te 2.74-2.87
Hg 0.9933 0.0000 0.9895  4 Te 2.79-2.82
Hg 0.7632 0.0000 0.6114  4 Te 2.74-2.87
Hg 0.5320 0.3315 0.4038  4 Te 2.80-2.82
Hg 0.8635 0.6685 0.4038  4 Te 2.80-2.82

Record 5
A relaxed structure of TiGa2HgTe. Source: the Alexandria database, functional PBEsol.

Values from the calculation:
* raw formation energy: 761 meV per atom
* electronic total energy: -3.058 eV/atom
* M_tot: 1.412 Bohr magnetons per cell
* space-group type: P4/mmm
* density: 6.00 g cm⁻³

a = 5.0916 Å, b = 5.2929 Å, c = 5.2929 Å
α = 90.00°, β = 90.00°, γ = 90.00°
With the nearest neighbours (Å) after each atom.
Sites, in units of the cell vectors:
Ga 0.0000 0.0000 0.5000  2 Te 2.65
Ga 0.0000 0.5000 0.0000  2 Te 2.65
Ti 0.5000 0.0000 0.0000  2 Te 2.55
Te 0.0000 0.0000 0.0000  2 Ti 2.55, 4 Ga 2.65
Hg 0.5000 0.5000 0.5000  8 Ga 3.67, 4 Ti 3.74

Record 6
A relaxed structure of TlGa2Hg2. Source: the Alexandria database, functional PBEsol.

Values from the calculation:
* electronic total energy: -2.043 eV/atom
* M_tot: 0.000 Bohr magnetons per cell
* formation enthalpy at 0 K: 46 meV per atom
* space-group type: I4/mmm
* density: 10.80 g cm⁻³

a = 4.1455 Å, b = 4.1455 Å, c = 7.2812 Å
α = 106.54°, β = 106.54°, γ = 90.00°
With the nearest neighbours (Å) after each atom.
Sites, in units of the cell vectors:
Hg 0.6074 0.6074 0.2148  4 Ga 2.81, 1 Hg 2.86
Hg 0.3926 0.3926 0.7852  4 Ga 2.81, 1 Hg 2.86
Ga 0.7500 0.2500 0.5000  4 Hg 2.81, 4 Ga 2.93
Ga 0.2500 0.7500 0.5000  4 Hg 2.81, 4 Ga 2.93
Tl 0.0000 0.0000 0.0000  8 Hg 3.26

Record 7
A relaxed structure of TlGa2Hg2. Source: the Alexandria database, functional PBEsol.

Values from the calculation:
* electronic total energy: -2.040 eV/atom
* M_tot: 0.000 Bohr magnetons per cell
* formation enthalpy at 0 K: 49 meV per atom
* space-group type: P4/mbm
* density: 10.97 g cm⁻³

a = 3.1675 Å, b = 8.4396 Å, c = 8.4396 Å
α = 90.00°, β = 90.00°, γ = 90.00°
With the nearest neighbours (Å) after each atom.
Sites, in units of the cell vectors:
Hg 0.0000 0.8471 0.6529  6 Ga 2.90-2.96, 2 Hg 3.17, 2 Tl 3.20
Hg 0.0000 0.6529 0.1529  6 Ga 2.90-2.96, 2 Hg 3.17, 2 Tl 3.20
Hg 0.0000 0.1529 0.3471  6 Ga 2.90-2.96, 2 Hg 3.17, 2 Tl 3.20
Hg 0.0000 0.3471 0.8471  6 Ga 2.90-2.96, 2 Hg 3.17, 2 Tl 3.20
Ga 0.5000 0.8563 0.3563  6 Hg 2.90-2.96, 2 Ga 3.17
Ga 0.5000 0.3563 0.1437  6 Hg 2.90-2.96, 2 Ga 3.17
Ga 0.5000 0.1437 0.6437  6 Hg 2.90-2.96, 2 Ga 3.17
Ga 0.5000 0.6437 0.8563  6 Hg 2.90-2.96, 2 Ga 3.17
Tl 0.0000 0.5000 0.5000  2 Tl 3.17, 4 Hg 3.20
Tl 0.0000 0.0000 0.0000  2 Tl 3.17, 4 Hg 3.20

Record 8
A relaxed structure of GaHg3W. Source: the Alexandria database, functional PBEsol.

Values from the calculation:
* electronic total energy: -2.677 eV/atom
* M_tot: 1.056 Bohr magnetons per cell
* formation enthalpy at 0 K: 1092 meV per atom
* space-group type: Pm-3m
* density: 9.97 g cm⁻³

a = 5.2219 Å, b = 5.2219 Å, c = 5.2219 Å
α = 90.00°, β = 90.00°, γ = 90.00°
With the nearest neighbours (Å) after each atom.
Sites, in units of the cell vectors:
Hg 0.0000 0.0000 0.5000  2 W 2.61
Hg 0.5000 0.0000 0.0000  2 W 2.61
Hg 0.0000 0.5000 0.0000  2 W 2.61
Ga 0.5000 0.5000 0.5000  12 Hg 3.69
W 0.0000 0.0000 0.0000  6 Hg 2.61

Record 9
A relaxed structure of Y2Ga2Hg. Source: the Alexandria database, functional PBEsol.

Values from the calculation:
* electronic total energy: -4.848 eV/atom
* M_tot: 0.000 Bohr magnetons per cell
* formation enthalpy at 0 K: -670 meV per atom
* space-group type: P4/mbm
* density: 7.94 g cm⁻³

a = 4.4304 Å, b = 6.9932 Å, c = 6.9932 Å
α = 90.00°, β = 90.00°, γ = 90.00°
With the nearest neighbours (Å) after each atom.
Sites, in units of the cell vectors:
Ga 0.0000 0.3710 0.8710  1 Ga 2.55, 2 Hg 2.75
Ga 0.0000 0.1290 0.3710  1 Ga 2.55, 2 Hg 2.75
Ga 0.0000 0.8710 0.6290  1 Ga 2.55, 2 Hg 2.75
Ga 0.0000 0.6290 0.1290  1 Ga 2.55, 2 Hg 2.75
Y 0.5000 0.8286 0.3286  6 Ga 2.97-3.07
Y 0.5000 0.3286 0.1714  6 Ga 2.97-3.07
Y 0.5000 0.1714 0.6714  6 Ga 2.97-3.07
Y 0.5000 0.6714 0.8286  6 Ga 2.97-3.07
Hg 0.0000 0.0000 0.0000  4 Ga 2.75
Hg 0.0000 0.5000 0.5000  4 Ga 2.75

Record 10
A relaxed structure of YGaHg. Source: the Alexandria database, functional PBEsol.

Values from the calculation:
* electronic total energy: -4.237 eV/atom
* M_tot: 0.000 Bohr magnetons per cell
* formation enthalpy at 0 K: -661 meV per atom
* space-group type: P6_3mc
* density: 9.26 g cm⁻³

a = 4.5434 Å, b = 4.5434 Å, c = 7.2106 Å
α = 90.00°, β = 90.00°, γ = 120.00°
With the nearest neighbours (Å) after each atom.
Sites, in units of the cell vectors:
Y 0.0000 0.0000 0.3176  3 Ga 3.01, 6 Hg 3.04-3.35
Y 0.0000 0.0000 0.8176  3 Ga 3.01, 6 Hg 3.04-3.35
Ga 0.6667 0.3333 0.0224  4 Hg 2.69-3.00, 3 Y 3.01
Ga 0.3333 0.6667 0.5224  4 Hg 2.69-3.00, 3 Y 3.01
Hg 0.6667 0.3333 0.6057  4 Ga 2.69-3.00
Hg 0.3333 0.6667 0.1057  4 Ga 2.69-3.00

Record 11
A relaxed structure of Zr2Ga2Hg. Source: the Alexandria database, functional PBEsol.

Values from the calculation:
* electronic total energy: -5.617 eV/atom
* M_tot: 0.000 Bohr magnetons per cell
* formation enthalpy at 0 K: -532 meV per atom
* space-group type: P4/mbm
* density: 9.34 g cm⁻³

a = 3.9120 Å, b = 6.8913 Å, c = 6.8913 Å
α = 90.00°, β = 90.00°, γ = 90.00°
With the nearest neighbours (Å) after each atom.
Sites, in units of the cell vectors:
Hg 0.0000 0.5000 0.5000  4 Ga 2.73
Hg 0.0000 0.0000 0.0000  4 Ga 2.73
Zr 0.5000 0.6750 0.8250  6 Ga 2.76-2.87
Zr 0.5000 0.8250 0.3250  6 Ga 2.76-2.87
Zr 0.5000 0.3250 0.1750  6 Ga 2.76-2.87
Zr 0.5000 0.1750 0.6750  6 Ga 2.76-2.87
Ga 0.0000 0.8754 0.6246  1 Ga 2.43
Ga 0.0000 0.1246 0.3754  1 Ga 2.43
Ga 0.0000 0.3754 0.8754  1 Ga 2.43
Ga 0.0000 0.6246 0.1246  1 Ga 2.43

Record 12
A relaxed structure of HoGa3. Source: the Alexandria database, functional PBEsol.

Values from the calculation:
* electronic total energy: -4.325 eV/atom
* M_tot: 0.000 Bohr magnetons per cell
* formation enthalpy at 0 K: -582 meV per atom
* space-group type: R-3m
* density: 8.54 g cm⁻³

a = 6.0031 Å, b = 6.0031 Å, c = 12.1528 Å
α = 75.70°, β = 75.70°, γ = 60.00°
With the nearest neighbours (Å) after each atom.
Sites, in units of the cell vectors:
Ga 0.1188 0.5641 0.1983  6 Ga 2.67-2.88, 1 Ho 2.95
Ga 0.5641 0.1188 0.1983  6 Ga 2.67-2.88, 1 Ho 2.95
Ga 0.5000 0.5000 0.0000  8 Ga 2.84-3.00, 4 Ho 2.91-3.00
Ga 0.1307 0.6357 0.5979  8 Ga 2.87-3.03, 4 Ho 2.93-3.00
Ga 0.6357 0.1307 0.5979  8 Ga 2.87-3.03, 4 Ho 2.93-3.00
Ga 0.3643 0.8693 0.4021  8 Ga 2.87-3.03, 4 Ho 2.93-3.00
Ga 0.0000 0.5000 0.0000  8 Ga 2.84-3.00, 4 Ho 2.91-3.00
Ga 0.3643 0.3643 0.4021  8 Ga 2.87-3.03, 4 Ho 2.93-3.00
Ga 0.6357 0.6357 0.5979  8 Ga 2.87-3.03, 4 Ho 2.93-3.00
Ga 0.5000 0.0000 0.0000  8 Ga 2.84-3.00, 4 Ho 2.91-3.00
Ga 0.8812 0.8812 0.8017  6 Ga 2.67-2.88, 1 Ho 2.95
Ga 0.8812 0.4359 0.8017  6 Ga 2.67-2.88, 1 Ho 2.95
Ga 0.1188 0.1188 0.1983  6 Ga 2.67-2.88, 1 Ho 2.95
Ga 0.4359 0.8812 0.8017  6 Ga 2.67-2.88, 1 Ho 2.95
Ga 0.8693 0.3643 0.4021  8 Ga 2.87-3.03, 4 Ho 2.93-3.00
Ho 0.0000 0.0000 0.0000  12 Ga 3.00-3.01
Ho 0.4002 0.4002 0.7994  12 Ga 2.91-3.01
Ho 0.1302 0.1302 0.6094  12 Ga 2.95-3.00
Ho 0.5998 0.5998 0.2006  12 Ga 2.91-3.01
Ho 0.8698 0.8698 0.3906  12 Ga 2.95-3.00